# 1
VASP calculation (PBE) on a relaxed structure of TlGeSb2.

Cell: 6.6916 6.6916 8.0620 Å, 65.48 65.48 90.00°
Closest atoms and distances in Å follow each position.
Atoms (fractional coordinates):
Tl 0.7500 0.2500 0.5000  4 Sb 3.01
Sb 0.1589 0.6250 0.2500  2 Ge 2.75, 2 Tl 3.01
Sb 0.8750 0.8411 0.7500  2 Ge 2.75, 2 Tl 3.01
Ge 0.2500 0.7500 0.5000  4 Sb 2.75
Ge 0.5000 0.5000 0.0000  4 Sb 2.75
Tl 0.0000 0.0000 0.0000  4 Sb 3.01
Sb 0.3750 0.4089 0.7500  2 Ge 2.75, 2 Tl 3.01
Sb 0.5911 0.1250 0.2500  2 Ge 2.75, 2 Tl 3.01

SG: No. 122
energy relative to the elements, uncorrected: 0.187 eV per atom
energy above the lowest structure with this stoichiometry: 43 meV/atom


# 2
VASP calculation (PBE) on a relaxed structure of Rb2I6NCl.

Cell: 8.3483 8.3483 7.9444 Å, 58.30 58.30 90.00°
Closest atoms and distances in Å follow each position.
Atoms (fractional coordinates):
N 0.5000 0.5000 0.0000  6 I 2.53-2.61
I 0.2788 0.2788 0.0000  1 N 2.61
I 0.2788 0.7212 0.0000  1 N 2.61
I 0.2623 0.2623 0.4754  1 N 2.53, 1 Cl 2.79
Rb 0.2500 0.7500 0.5000  12 I 3.99-4.18
I 0.7212 0.2788 0.0000  1 N 2.61
I 0.7377 0.7377 0.5246  1 N 2.53, 1 Cl 2.79
Cl 0.0000 0.0000 0.0000  2 I 2.79
I 0.7212 0.7212 0.0000  1 N 2.61
Rb 0.7500 0.2500 0.5000  12 I 3.99-4.18

SG: No. 139
energy relative to the elements, uncorrected: -0.131 eV per atom


# 3
VASP calculation (PBE) on a relaxed structure of LaPm2Dy2Y4.

Cell: 3.6341 9.6052 9.6482 Å, 115.22 90.00 100.90°
Closest atoms and distances in Å follow each position.
Atoms (fractional coordinates):
Y 0.5193 0.0386 0.3377  5 Y 3.51-3.64, 4 Dy 3.53-3.63, 2 La 3.61, 1 Pm 3.61
Y 0.1863 0.3727 0.3363  6 Y 3.53-3.64, 3 Dy 3.54-3.62, 1 La 3.60, 2 Pm 3.60
Y 0.8137 0.6273 0.6637  6 Y 3.53-3.64, 3 Dy 3.54-3.62, 1 La 3.60, 2 Pm 3.60
Pm 0.6676 0.3352 0.9995  3 Dy 3.58-3.59, 4 Pm 3.60-3.63, 3 Y 3.60-3.61, 2 La 3.65
Pm 0.3324 0.6648 0.0005  3 Dy 3.58-3.59, 4 Pm 3.60-3.63, 3 Y 3.60-3.61, 2 La 3.65
Dy 0.1478 0.2956 0.6643  7 Y 3.53-3.63, 3 Pm 3.58-3.59, 2 Dy 3.63
Dy 0.8522 0.7044 0.3357  7 Y 3.53-3.63, 3 Pm 3.58-3.59, 2 Dy 3.63
La 0.0000 0.0000 0.0000  6 Y 3.60-3.61, 2 La 3.63, 4 Pm 3.65
Y 0.4807 0.9614 0.6623  5 Y 3.51-3.64, 4 Dy 3.53-3.63, 2 La 3.61, 1 Pm 3.61

formation energy: 0.00 eV per atom
SG: No. 12


# 4
VASP calculation (PBE) on a relaxed structure of ZrPtN2O.

Cell: 4.2915 4.2915 4.0244 Å, 90.00 90.00 90.00°
Closest atoms and distances in Å follow each position.
Atoms (fractional coordinates):
Pt 0.5000 0.5000 0.5000  8 N 2.94, 4 O 3.03
N 0.5000 0.0000 0.0000  2 Zr 2.15
Zr 0.0000 0.0000 0.0000  2 O 2.01, 4 N 2.15
N 0.0000 0.5000 0.0000  2 Zr 2.15
O 0.0000 0.0000 0.5000  2 Zr 2.01

SG: No. 123
energy relative to the elements, uncorrected: 0.507 eV per atom


# 5
VASP calculation (PBE) on a relaxed structure of NiOsRh2.

Cell: 8.7230 8.7230 8.7230 Å, 17.89 17.89 17.89°
Closest atoms and distances in Å follow each position.
Atoms (fractional coordinates):
Rh 0.9990 0.9990 0.9990  3 Ni 2.64, 3 Os 2.68, 6 Rh 2.71
Ni 0.2500 0.2500 0.2500  6 Rh 2.64, 6 Ni 2.71
Rh 0.5010 0.5010 0.5010  3 Ni 2.64, 3 Os 2.68, 6 Rh 2.71
Os 0.7500 0.7500 0.7500  6 Rh 2.68, 6 Os 2.71

formation energy: 0.10 eV per atom
SG: No. 166
energy above the lowest structure with this stoichiometry: 64 meV/atom


# 6
VASP calculation (PBE) on a relaxed structure of Rb2Ba2TaTe6.

Cell: 8.1433 8.1433 9.0111 Å, 99.78 99.78 117.50°
Closest atoms and distances in Å follow each position.
Atoms (fractional coordinates):
Rb 0.8186 0.1814 0.0000  6 Te 3.67-3.90
Te 0.9282 0.6501 0.2993  1 Ta 2.84
Te 0.1979 0.1979 0.2995  1 Ta 2.84
Ba 0.3363 0.6637 0.5000  6 Te 3.45-3.50
Te 0.3499 0.0718 0.7007  1 Ta 2.84
Te 0.0718 0.3499 0.7007  1 Ta 2.84
Rb 0.1814 0.8186 0.0000  6 Te 3.67-3.90
Te 0.8021 0.8021 0.7005  1 Ta 2.84
Te 0.6501 0.9282 0.2993  1 Ta 2.84
Ba 0.6637 0.3363 0.5000  6 Te 3.45-3.50
Ta 0.0000 0.0000 0.5000  6 Te 2.84

SG: No. 12
energy relative to the elements, uncorrected: -0.904 eV per atom


# 7
VASP calculation (PBE) on a relaxed structure of YOsCl2.

Cell: 8.8689 8.8689 8.8689 Å, 20.78 20.78 20.78°
Closest atoms and distances in Å follow each position.
Atoms (fractional coordinates):
Cl 0.0895 0.0895 0.0895  1 Os 2.33
Os 0.0000 0.0000 0.0000  2 Cl 2.33
Cl 0.9105 0.9105 0.9105  1 Os 2.33
Y 0.5000 0.5000 0.5000  6 Cl 2.73

SG: No. 166
energy relative to the elements, uncorrected: -0.142 eV per atom
energy above the lowest structure with this stoichiometry: 433 meV/atom


# 8
VASP calculation (PBE) on a relaxed structure of NbHIrRu2.

Cell: 3.9657 3.9657 3.9317 Å, 90.00 90.00 90.00°
Closest atoms and distances in Å follow each position.
Atoms (fractional coordinates):
H 0.0000 0.0000 0.0000  2 Ir 1.97, 4 Ru 1.98
Ir 0.0000 0.0000 0.5000  2 H 1.97
Ru 0.5000 0.0000 0.0000  2 H 1.98
Ru 0.0000 0.5000 0.0000  2 H 1.98
Nb 0.5000 0.5000 0.5000  8 Ru 2.79, 4 Ir 2.80

SG: No. 123
energy above the lowest structure with this stoichiometry: 0 meV/atom